# Cr2CdIr2 (PBE-GGA, relaxed)
data_Cr2CdIr2
_chemical_formula_sum 'Cr4 Cd2 Ir4'
_cell_length_a 7.437
_cell_length_b 7.437
_cell_length_c 2.702
_cell_angle_alpha 90.00
_cell_angle_beta 90.00
_cell_angle_gamma 90.00
_symmetry_space_group_name_H-M 'P 4/m b m'
_symmetry_Int_Tables_number 127
_symmetry_space_group_name_Hall '-P 4 2ab'
loop_
_atom_site_label
_atom_site_fract_x
_atom_site_fract_y
_atom_site_fract_z
Cr1 0.164 0.336 0.000
Cd1 0.000 0.000 0.500
Ir1 0.128 0.628 0.500
# Magnetization   0.0 Bohr magnetons per cell
# Formation energy   0.046 eV per atom
# Energy above the most stable polymorph in this dataset   0.0000 eV/atom

# Cs3MnCu2Cl6 (PBE-GGA, relaxed)
data_Cs3MnCu2Cl6
_chemical_formula_sum 'Cs3 Mn1 Cu2 Cl6'
_cell_length_a 7.4558
_cell_length_b 7.4558
_cell_length_c 8.8635
_cell_angle_alpha 90.00
_cell_angle_beta 90.00
_cell_angle_gamma 120.00
_symmetry_space_group_name_H-M 'P -3 m 1'
_symmetry_Int_Tables_number 164
_symmetry_space_group_name_Hall '-P 3 2"'
loop_
_atom_site_label
_atom_site_fract_x
_atom_site_fract_y
_atom_site_fract_z
Cs1 0.0000 0.0000 0.0000
Cs2 0.3333 0.6667 0.6773
Mn1 0.0000 0.0000 0.5000
Cu1 0.3333 0.6667 0.2855
Cl1 0.1593 0.3186 0.3192
# Formation energy from raw total energies   -1.0977 eV per atom
# Magnetization   4.5 Bohr magnetons per cell

- What is the magnetization in the second record?
  4.5 Bohr magnetons per cell

- Which formula does entry 2 have?
  Cs3MnCu2Cl6